# GGA-PBE Cs3TcF, relaxed
data_Cs3TcF
_chemical_formula_sum 'Cs3 Tc1 F1'
_cell_length_a 5.9880
_cell_length_b 5.9880
_cell_length_c 5.9880
_cell_angle_alpha 90.00
_cell_angle_beta 90.00
_cell_angle_gamma 90.00
_symmetry_space_group_name_H-M 'P 1'
_symmetry_Int_Tables_number 1
loop_
_symmetry_equiv_pos_as_xyz
'x,y,z'
loop_
_atom_site_label
_atom_site_type_symbol
_atom_site_fract_x
_atom_site_fract_y
_atom_site_fract_z
Cs1 Cs 0.0000 0.0000 0.5000
Cs2 Cs 0.0000 0.5000 0.0000
Cs3 Cs 0.5000 0.0000 0.0000
Tc1 Tc 0.5000 0.5000 0.5000
F1 F 0.0000 0.0000 0.0000
# * ΔE_f (raw): -0.60 eV/f.u.
# * raw total energy: -3.079 eV/atom
# * V: 42.94 Å³ per atom
# * ρ: 4.0 g/cm³
# * E above lowest polymorph: 0 meV per atom